RbLiSc2S4 PBE-GGA optimized geometry; magnetization = 0.000 Bohr magnetons per cell; symmetry = Cmcm, No. 63; total energy = -5.69 eV per atom
1.0
-3.353 -1.825 0.661
1.148 -0.433 -6.724
6.670 -11.570 1.884
Rb Li Sc S
2 2 4 8
Direct
0.107 0.215 0.750 Rb
0.893 0.785 0.250 Rb
0.825 0.651 0.750 Li
0.175 0.349 0.250 Li
0.366 0.732 0.561 Sc
0.634 0.268 0.061 Sc
0.634 0.268 0.439 Sc
0.366 0.732 0.939 Sc
0.259 0.518 0.100 S
0.741 0.482 0.600 S
0.741 0.482 0.900 S
0.259 0.518 0.400 S
0.000 0.000 0.500 S
0.000 0.000 0.000 S
0.417 0.835 0.750 S
0.583 0.165 0.250 S